Entry 1:
## MnFeAu (PBEsol)

Data for crystalline MnFeAu at its relaxed geometry.

Output
crystal system	cubic
space-group type	F-43m, No. 216
spin magnetization	0.49	μB/atom
ΔH_f (0 K)	0.668	eV per atom
DFT total energy	-6.881	eV/atom

```
data_MnFeAu
_cell_length_a 4.0344
_cell_length_b 4.0344
_cell_length_c 4.0344
_cell_angle_alpha 60.00
_cell_angle_beta 60.00
_cell_angle_gamma 60.00
_symmetry_space_group_name_H-M 'P 1'
_symmetry_Int_Tables_number 1
_symmetry_space_group_name_Hall 'P 1'
loop_
_atom_site_label
_atom_site_type_symbol
_atom_site_fract_x
_atom_site_fract_y
_atom_site_fract_z
_atom_site_occupancy
Mn1 Mn 0.0000 0.0000 0.0000 1
Fe1 Fe 0.2500 0.2500 0.2500 1
Au1 Au 0.7500 0.7500 0.7500 1
```

Entry 2:
## MnFe2Au (PBEsol)

Data for crystalline MnFe2Au at its relaxed geometry.

Output
crystal system	monoclinic
space-group type	Cm, No. 8
spin magnetization	0.50	μB/atom
ΔH_f (0 K)	0.253	eV per atom
DFT total energy	-7.650	eV/atom

```
data_MnFe2Au
_cell_length_a 4.4664
_cell_length_b 4.4664
_cell_length_c 4.6028
_cell_angle_alpha 100.15
_cell_angle_beta 100.15
_cell_angle_gamma 34.27
_symmetry_space_group_name_H-M 'P 1'
_symmetry_Int_Tables_number 1
_symmetry_space_group_name_Hall 'P 1'
loop_
_atom_site_label
_atom_site_type_symbol
_atom_site_fract_x
_atom_site_fract_y
_atom_site_fract_z
_atom_site_occupancy
Mn1 Mn 0.0000 0.0000 0.0000 1
Fe1 Fe 0.2569 0.2569 0.7850 1
Fe2 Fe 0.5145 0.5145 0.5467 1
Au1 Au 0.7587 0.7587 0.2815 1
```

Entry 3:
## FeMoAu2 (PBEsol)

Data for crystalline FeMoAu2 at its relaxed geometry.

Output
crystal system	orthorhombic
space-group type	Imm2, No. 44
spin magnetization	0.31	μB/atom
ΔH_f (0 K)	0.303	eV per atom
DFT total energy	-6.842	eV/atom

```
data_FeMoAu2
_cell_length_a 5.2368
_cell_length_b 5.2368
_cell_length_c 5.2368
_cell_angle_alpha 146.97
_cell_angle_beta 128.43
_cell_angle_gamma 62.62
_symmetry_space_group_name_H-M 'P 1'
_symmetry_Int_Tables_number 1
_symmetry_space_group_name_Hall 'P 1'
loop_
_atom_site_label
_atom_site_type_symbol
_atom_site_fract_x
_atom_site_fract_y
_atom_site_fract_z
_atom_site_occupancy
Fe1 Fe 0.0000 0.0000 0.0000 1
Mo1 Mo 0.1952 0.6952 0.5000 1
Au1 Au 0.4756 0.4756 0.0000 1
Au2 Au 0.7569 0.2569 0.5000 1
```

Entry 4:
## FeMo2Au (PBEsol)

Data for crystalline FeMo2Au at its relaxed geometry.

Output
crystal system	orthorhombic
space-group type	Pmmm, No. 47
spin magnetization	0.00	μB/atom
ΔH_f (0 K)	0.156	eV per atom
DFT total energy	-8.950	eV/atom

```
data_FeMo2Au
_cell_length_a 2.7235
_cell_length_b 3.8122
_cell_length_c 5.4881
_cell_angle_alpha 90.00
_cell_angle_beta 90.00
_cell_angle_gamma 90.00
_symmetry_space_group_name_H-M 'P 1'
_symmetry_Int_Tables_number 1
_symmetry_space_group_name_Hall 'P 1'
loop_
_atom_site_label
_atom_site_type_symbol
_atom_site_fract_x
_atom_site_fract_y
_atom_site_fract_z
_atom_site_occupancy
Fe1 Fe 0.0000 0.0000 0.0000 1
Mo1 Mo 0.5000 0.5000 0.2209 1
Mo2 Mo 0.5000 0.5000 0.7791 1
Au1 Au 0.0000 0.0000 0.5000 1
```

Entry 5:
## FeMoAu2 (PBEsol)

Data for crystalline FeMoAu2 at its relaxed geometry.

Output
crystal system	cubic
space-group type	F-43m, No. 216
spin magnetization	0.48	μB/atom
ΔH_f (0 K)	0.365	eV per atom
DFT total energy	-6.780	eV/atom

```
data_FeMoAu2
_cell_length_a 4.4164
_cell_length_b 4.4164
_cell_length_c 4.4164
_cell_angle_alpha 60.00
_cell_angle_beta 60.00
_cell_angle_gamma 60.00
_symmetry_space_group_name_H-M 'P 1'
_symmetry_Int_Tables_number 1
_symmetry_space_group_name_Hall 'P 1'
loop_
_atom_site_label
_atom_site_type_symbol
_atom_site_fract_x
_atom_site_fract_y
_atom_site_fract_z
_atom_site_occupancy
Fe1 Fe 0.0000 0.0000 0.0000 1
Mo1 Mo 0.2500 0.2500 0.2500 1
Au1 Au 0.5000 0.5000 0.5000 1
Au2 Au 0.7500 0.7500 0.7500 1
```

Entry 6:
## FeMoAu (PBEsol)

Data for crystalline FeMoAu at its relaxed geometry.

Output
crystal system	cubic
space-group type	F-43m, No. 216
spin magnetization	0.45	μB/atom
ΔH_f (0 K)	0.596	eV per atom
DFT total energy	-7.623	eV/atom

```
data_FeMoAu
_cell_length_a 4.0800
_cell_length_b 4.0800
_cell_length_c 4.0800
_cell_angle_alpha 60.00
_cell_angle_beta 60.00
_cell_angle_gamma 60.00
_symmetry_space_group_name_H-M 'P 1'
_symmetry_Int_Tables_number 1
_symmetry_space_group_name_Hall 'P 1'
loop_
_atom_site_label
_atom_site_type_symbol
_atom_site_fract_x
_atom_site_fract_y
_atom_site_fract_z
_atom_site_occupancy
Fe1 Fe 0.0000 0.0000 0.0000 1
Mo1 Mo 0.2500 0.2500 0.2500 1
Au1 Au 0.7500 0.7500 0.7500 1
```

Entry 7:
## FeMoAu2 (PBEsol)

Data for crystalline FeMoAu2 at its relaxed geometry.

Output
crystal system	cubic
space-group type	Fm-3m, No. 225
spin magnetization	0.42	μB/atom
ΔH_f (0 K)	0.441	eV per atom
DFT total energy	-6.703	eV/atom

```
data_FeMoAu2
_cell_length_a 4.4346
_cell_length_b 4.4346
_cell_length_c 4.4346
_cell_angle_alpha 60.00
_cell_angle_beta 60.00
_cell_angle_gamma 60.00
_symmetry_space_group_name_H-M 'P 1'
_symmetry_Int_Tables_number 1
_symmetry_space_group_name_Hall 'P 1'
loop_
_atom_site_label
_atom_site_type_symbol
_atom_site_fract_x
_atom_site_fract_y
_atom_site_fract_z
_atom_site_occupancy
Fe1 Fe 0.0000 0.0000 0.0000 1
Mo1 Mo 0.5000 0.5000 0.5000 1
Au1 Au 0.2500 0.2500 0.2500 1
Au2 Au 0.7500 0.7500 0.7500 1
```

Entry 8:
## FeMoAu2 (PBEsol)

Data for crystalline FeMoAu2 at its relaxed geometry.

Output
crystal system	monoclinic
space-group type	C2/m, No. 12
spin magnetization	0.49	μB/atom
ΔH_f (0 K)	0.337	eV per atom
DFT total energy	-6.807	eV/atom

```
data_FeMoAu2
_cell_length_a 4.8344
_cell_length_b 4.8344
_cell_length_c 4.8507
_cell_angle_alpha 98.94
_cell_angle_beta 98.94
_cell_angle_gamma 32.69
_symmetry_space_group_name_H-M 'P 1'
_symmetry_Int_Tables_number 1
_symmetry_space_group_name_Hall 'P 1'
loop_
_atom_site_label
_atom_site_type_symbol
_atom_site_fract_x
_atom_site_fract_y
_atom_site_fract_z
_atom_site_occupancy
Fe1 Fe 0.0000 0.0000 0.0000 1
Mo1 Mo 0.5000 0.5000 0.5000 1
Au1 Au 0.2520 0.2520 0.7527 1
Au2 Au 0.7480 0.7480 0.2473 1
```

Entry 9:
## FeAuN3 (PBEsol)

Data for crystalline FeAuN3 at its relaxed geometry.

Output
crystal system	cubic
space-group type	Pm-3m, No. 221
spin magnetization	0.31	μB/atom
DFT total energy	-6.264	eV/atom
raw formation energy	1.430	eV per atom

```
data_FeAuN3
_cell_length_a 3.6838
_cell_length_b 3.6838
_cell_length_c 3.6838
_cell_angle_alpha 90.00
_cell_angle_beta 90.00
_cell_angle_gamma 90.00
_symmetry_space_group_name_H-M 'P 1'
_symmetry_Int_Tables_number 1
_symmetry_space_group_name_Hall 'P 1'
loop_
_atom_site_label
_atom_site_type_symbol
_atom_site_fract_x
_atom_site_fract_y
_atom_site_fract_z
_atom_site_occupancy
Fe1 Fe 0.0000 0.0000 0.0000 1
Au1 Au 0.5000 0.5000 0.5000 1
N1 N 0.0000 0.0000 0.5000 1
N2 N 0.0000 0.5000 0.0000 1
N3 N 0.5000 0.0000 0.0000 1
```

Entry 10:
## Fe2NiAuN (PBEsol)

Data for crystalline Fe2NiAuN at its relaxed geometry.

Output
crystal system	tetragonal
space-group type	P4/mmm, No. 123
spin magnetization	1.74	μB/atom
DFT total energy	-4.861	eV/atom
raw formation energy	2.446	eV per atom

```
data_Fe2NiAuN
_cell_length_a 4.6450
_cell_length_b 4.6450
_cell_length_c 4.5833
_cell_angle_alpha 90.00
_cell_angle_beta 90.00
_cell_angle_gamma 90.00
_symmetry_space_group_name_H-M 'P 1'
_symmetry_Int_Tables_number 1
_symmetry_space_group_name_Hall 'P 1'
loop_
_atom_site_label
_atom_site_type_symbol
_atom_site_fract_x
_atom_site_fract_y
_atom_site_fract_z
_atom_site_occupancy
Fe1 Fe 0.0000 0.5000 0.0000 1
Fe2 Fe 0.5000 0.0000 0.0000 1
Ni1 Ni 0.0000 0.0000 0.5000 1
Au1 Au 0.0000 0.0000 0.0000 1
N1 N 0.5000 0.5000 0.5000 1
```

Entry 11:
## FeRu2AuN (PBEsol)

Data for crystalline FeRu2AuN at its relaxed geometry.

Output
crystal system	tetragonal
space-group type	P4/mmm, No. 123
spin magnetization	0.85	μB/atom
DFT total energy	-7.739	eV/atom
raw formation energy	0.613	eV per atom

```
data_FeRu2AuN
_cell_length_a 3.9181
_cell_length_b 3.9181
_cell_length_c 4.3371
_cell_angle_alpha 90.00
_cell_angle_beta 90.00
_cell_angle_gamma 90.00
_symmetry_space_group_name_H-M 'P 1'
_symmetry_Int_Tables_number 1
_symmetry_space_group_name_Hall 'P 1'
loop_
_atom_site_label
_atom_site_type_symbol
_atom_site_fract_x
_atom_site_fract_y
_atom_site_fract_z
_atom_site_occupancy
Fe1 Fe 0.0000 0.0000 0.0000 1
Ru1 Ru 0.0000 0.5000 0.5000 1
Ru2 Ru 0.5000 0.0000 0.5000 1
Au1 Au 0.5000 0.5000 0.0000 1
N1 N 0.5000 0.5000 0.5000 1
```

Entry 12:
## NaFeAu3 (PBEsol)

Data for crystalline NaFeAu3 at its relaxed geometry.

Output
crystal system	cubic
space-group type	Pm-3m, No. 221
spin magnetization	0.67	μB/atom
ΔH_f (0 K)	1.404	eV per atom
DFT total energy	-3.023	eV/atom

```
data_NaFeAu3
_cell_length_a 4.7141
_cell_length_b 4.7141
_cell_length_c 4.7141
_cell_angle_alpha 90.00
_cell_angle_beta 90.00
_cell_angle_gamma 90.00
_symmetry_space_group_name_H-M 'P 1'
_symmetry_Int_Tables_number 1
_symmetry_space_group_name_Hall 'P 1'
loop_
_atom_site_label
_atom_site_type_symbol
_atom_site_fract_x
_atom_site_fract_y
_atom_site_fract_z
_atom_site_occupancy
Na1 Na 0.0000 0.0000 0.0000 1
Fe1 Fe 0.5000 0.5000 0.5000 1
Au1 Au 0.0000 0.0000 0.5000 1
Au2 Au 0.0000 0.5000 0.0000 1
Au3 Au 0.5000 0.0000 0.0000 1
```

Question: Which value of DFT total energy does entry 10 give?
Answer: -4.861 eV/atom

Copy entry 8 word for word.
## FeMoAu2 (PBEsol)

Data for crystalline FeMoAu2 at its relaxed geometry.

Output
crystal system	monoclinic
space-group type	C2/m, No. 12
spin magnetization	0.49	μB/atom
ΔH_f (0 K)	0.337	eV per atom
DFT total energy	-6.807	eV/atom

```
data_FeMoAu2
_cell_length_a 4.8344
_cell_length_b 4.8344
_cell_length_c 4.8507
_cell_angle_alpha 98.94
_cell_angle_beta 98.94
_cell_angle_gamma 32.69
_symmetry_space_group_name_H-M 'P 1'
_symmetry_Int_Tables_number 1
_symmetry_space_group_name_Hall 'P 1'
loop_
_atom_site_label
_atom_site_type_symbol
_atom_site_fract_x
_atom_site_fract_y
_atom_site_fract_z
_atom_site_occupancy
Fe1 Fe 0.0000 0.0000 0.0000 1
Mo1 Mo 0.5000 0.5000 0.5000 1
Au1 Au 0.2520 0.2520 0.7527 1
Au2 Au 0.7480 0.7480 0.2473 1
```

Question: The lowest spin magnetization belongs to which entry?
Answer: FeMo2Au

Copy entry 5 word for word.
## FeMoAu2 (PBEsol)

Data for crystalline FeMoAu2 at its relaxed geometry.

Output
crystal system	cubic
space-group type	F-43m, No. 216
spin magnetization	0.48	μB/atom
ΔH_f (0 K)	0.365	eV per atom
DFT total energy	-6.780	eV/atom

```
data_FeMoAu2
_cell_length_a 4.4164
_cell_length_b 4.4164
_cell_length_c 4.4164
_cell_angle_alpha 60.00
_cell_angle_beta 60.00
_cell_angle_gamma 60.00
_symmetry_space_group_name_H-M 'P 1'
_symmetry_Int_Tables_number 1
_symmetry_space_group_name_Hall 'P 1'
loop_
_atom_site_label
_atom_site_type_symbol
_atom_site_fract_x
_atom_site_fract_y
_atom_site_fract_z
_atom_site_occupancy
Fe1 Fe 0.0000 0.0000 0.0000 1
Mo1 Mo 0.2500 0.2500 0.2500 1
Au1 Au 0.5000 0.5000 0.5000 1
Au2 Au 0.7500 0.7500 0.7500 1
```